SnBi2Br, relaxed, DFT PBE; energy relative to the lowest polymorph listed for this composition = 0 meV/atom; symmetry = No. 166; M_tot = 0.00 μB/f.u.
1.0
-0.658 -0.449 3.611
2.298 -2.038 2.059
6.035 7.407 3.915
Bi Sn Br
2 1 1
Direct
0.748 0.748 0.755
0.252 0.252 0.245
0.000 0.000 0.000
0.500 0.500 0.500

---

LiHoAg2, relaxed, DFT PBE; energy of formation = -0.22 eV per atom; energy relative to the lowest polymorph listed for this composition = 13 meV/atom; symmetry = No. 166; M_tot = 0.00 μB/f.u.
1.0
-3.137 -0.421 -3.437
-3.155 -3.444 0.125
-4.864 1.327 1.102
Ag Ho Li
2 1 1
Direct
0.273 0.273 0.180
0.727 0.727 0.820
0.500 0.500 0.500
0.000 0.000 0.000

---

PPd2Br, relaxed, DFT PBE; energy relative to the lowest polymorph listed for this composition = 377 meV/atom; symmetry = No. 225; M_tot = 0.00 μB/f.u.
1.0
2.630 -3.707 0.304
-1.881 -4.064 0.833
-0.133 -3.162 -3.276
P Br Pd
1 1 2
Direct
0.000 0.000 0.000
0.500 0.500 0.500
0.250 0.250 0.250
0.750 0.750 0.750

---

RbAgCl2F, relaxed, DFT PBE; total energy = -15.9 eV per cell; symmetry = No. 123; M_tot = 0.00 μB/f.u.
1.0
-1.299 -0.379 4.978
0.005 -5.144 -0.390
4.337 -0.081 1.126
Rb Cl Ag F
1 2 1 1
Direct
0.500 0.500 0.500
0.500 0.000 0.000
0.000 0.500 0.000
0.000 0.000 0.000
0.000 0.000 0.500

---

Tc2IrAu, relaxed, DFT PBE; energy of formation = 0.16 eV per atom; energy relative to the lowest polymorph listed for this composition = 51 meV/atom; symmetry = No. 47; M_tot = 0.00 μB/f.u.
1.0
4.010 0.000 0.000
0.000 2.769 0.006
0.000 2.752 5.547
Tc Ir Au
2 1 1
Direct
0.000 0.027 0.973
0.000 0.473 0.527
0.500 0.750 0.750
0.500 0.250 0.250

---

InBiSeS2, relaxed, DFT PBE; total energy = -40.6 eV per cell; symmetry = No. 11; M_tot = 0.00 μB/f.u.
1.0
-0.344 -0.617 5.296
6.498 -1.800 0.212
2.103 7.861 1.052
In S Se Bi
2 4 2 2
Direct
0.250 0.893 0.849
0.750 0.107 0.151
0.250 0.034 0.130
0.750 0.966 0.870
0.750 0.900 0.420
0.250 0.100 0.580
0.750 0.454 0.289
0.250 0.546 0.711
0.750 0.249 0.593
0.250 0.751 0.407

---

PmInBi3, relaxed, DFT PBE; energy of formation = -0.21 eV per atom; energy relative to the lowest polymorph listed for this composition = 137 meV/atom; symmetry = No. 12; M_tot = 0.00 μB/f.u.
1.0
4.605 0.000 0.000
0.000 8.650 0.937
-2.303 0.333 8.520
Bi In Pm
6 2 2
Direct
0.179 0.437 0.359
0.056 0.741 0.112
0.616 0.980 0.232
0.944 0.259 0.888
0.821 0.563 0.641
0.384 0.020 0.768
0.439 0.649 0.877
0.561 0.351 0.123
0.242 0.810 0.483
0.758 0.190 0.517